Entry 1:
A relaxed Te6MoBr3 crystal. Source: the Open Quantum Materials Database, functional PBE.

The value obtained for the final energy is -3.740 eV per atom.

```
Te6MoBr3
1.0
8.802 0.000 0.000
3.177 11.384 0.000
1.682 1.800 14.373
Te Mo Br
24 4 12
Direct
0.052 0.192 0.192
0.122 0.066 0.861
0.139 0.300 0.017
0.178 0.649 0.044
0.204 0.293 0.581
0.266 0.961 0.023
0.272 0.728 0.862
0.322 0.846 0.425
0.333 0.575 0.624
0.340 0.519 0.380
0.436 0.242 0.710
0.442 0.184 0.449
0.558 0.816 0.551
0.564 0.758 0.290
0.660 0.481 0.620
0.667 0.425 0.376
0.678 0.154 0.575
0.728 0.272 0.138
0.734 0.039 0.977
0.796 0.707 0.419
0.822 0.351 0.956
0.861 0.700 0.983
0.878 0.934 0.139
0.948 0.808 0.808
0.028 0.881 0.968
0.475 0.380 0.534
0.525 0.620 0.466
0.972 0.119 0.032
0.011 0.349 0.417
0.132 0.823 0.278
0.141 0.391 0.805
0.254 0.895 0.663
0.376 0.104 0.211
0.479 0.637 0.093
0.521 0.363 0.907
0.624 0.896 0.789
0.746 0.105 0.337
0.859 0.609 0.195
0.868 0.177 0.722
0.989 0.651 0.583
```

---

Entry 2:
A relaxed SmErGa2Pd4 crystal. Source: the Open Quantum Materials Database, functional PBE.

The value obtained for the final energy is -5.387 eV per atom.

```
SmErGa2Pd4
1.0
4.417 0.000 0.000
-2.209 3.826 0.000
0.000 0.000 9.140
Sm Er Ga Pd
1 1 2 4
Direct
0.000 0.000 0.000
0.667 0.333 0.500
0.333 0.667 0.256
0.333 0.667 0.744
0.000 0.000 0.337
0.000 0.000 0.663
0.667 0.333 0.179
0.667 0.333 0.821
```

---

Entry 3:
A relaxed Ag2PtPb crystal. Source: the Open Quantum Materials Database, functional PBE.

The value obtained for the final energy is -3.828 eV per atom.

```
Ag2PtPb
1.0
0.000 3.369 3.369
3.369 0.000 3.369
3.369 3.369 0.000
Ag Pt Pb
2 1 1
Direct
0.000 0.000 0.000
0.250 0.250 0.250
0.750 0.750 0.750
0.500 0.500 0.500
```